# 1
# PrB2C2 | Alexandria | PBE-GGA | relaxed
# **Energy of formation**: 1.011 eV per atom
# **Uncorrected energy**: -6.306 eV per atom
# **Density**: 4.3 g/cm³
data_PrB2C2
_chemical_formula_sum 'Pr1 B2 C2'
_space_group_name_H-M_alt 'P -3 m 1'
_space_group_IT_number 164
_space_group_name_Hall '-P 3 2"'
_cell_length_a 3.7233
_cell_length_b 3.7233
_cell_length_c 6.0225
_cell_angle_alpha 90.00
_cell_angle_beta 90.00
_cell_angle_gamma 120.00
loop_
_atom_site_label
_atom_site_type_symbol
_atom_site_fract_x
_atom_site_fract_y
_atom_site_fract_z
Pr1 Pr 0.0000 0.0000 0.0000
B1 B 0.3333 0.6667 0.4639
C1 C 0.3333 0.6667 0.2281

# 2
# SiHg2Mo | Alexandria | PBE-GGA | relaxed
# **Formation energy from raw total energies**: 0.951 eV per formula unit
# **Uncorrected energy**: -3.977 eV per atom
# **Density**: 10.2 g/cm³
data_SiHg2Mo
_chemical_formula_sum 'Si2 Hg4 Mo2'
_space_group_name_H-M_alt 'C 1 2/m 1'
_space_group_IT_number 12
_space_group_name_Hall '-C 2y'
_cell_length_a 15.2334
_cell_length_b 2.7999
_cell_length_c 4.1716
_cell_angle_alpha 90.00
_cell_angle_beta 105.83
_cell_angle_gamma 90.00
loop_
_atom_site_label
_atom_site_type_symbol
_atom_site_fract_x
_atom_site_fract_y
_atom_site_fract_z
Si1 Si 0.0000 0.0000 0.0000
Hg1 Hg 0.1769 0.0000 0.6472
Mo1 Mo 0.0000 0.5000 0.5000

The lowest density belongs to which entry? PrB2C2